1.
# ZnOsPt4

Crystalline ZnOsPt4 at its relaxed geometry (PBE, Alexandria via LeMat-Bulk).

a = 5.2170 Å, b = 5.2170 Å, c = 5.2170 Å
α = 60.00°, β = 60.00°, γ = 60.00°
Atoms (fractional coordinates):
Zn 0.0000 0.0000 0.0000
Os 0.7500 0.7500 0.7500
Pt 0.3752 0.3752 0.3752
Pt 0.3752 0.3752 0.8745
Pt 0.3752 0.8745 0.3752
Pt 0.8745 0.3752 0.3752

Properties
- total DFT energy (no corrections) (eV per cell) = -33.8
- space group = F-43m, No. 216
- E_form (meV per atom) = 476
- mass density (g/cm3) = 17.134

2.
# Ac6Te3Rh2Pb

Crystalline Ac6Te3Rh2Pb at its relaxed geometry (PBE, Alexandria via LeMat-Bulk).

a = 7.8683 Å, b = 7.8683 Å, c = 8.4707 Å
α = 99.06°, β = 99.06°, γ = 120.02°
Atoms (fractional coordinates):
Ac 0.0651 0.4279 0.7794
Ac 0.2106 0.2106 0.2167
Ac 0.4279 0.0651 0.7794
Ac 0.5721 0.9349 0.2206
Ac 0.7894 0.7894 0.7833
Ac 0.9349 0.5721 0.2206
Te 0.0000 0.0000 0.5000
Te 0.3428 0.6572 0.5000
Te 0.6572 0.3428 0.5000
Rh 0.1676 0.8324 0.0000
Rh 0.8324 0.1676 0.0000
Pb 0.5000 0.5000 0.0000

Properties
- total DFT energy (no corrections) (eV per cell) = -65.1
- space group = C2/m, No. 12
- mass density (g/cm3) = 8.315

3.
# La2NbRu

Crystalline La2NbRu at its relaxed geometry (PBE, Alexandria via LeMat-Bulk).

a = 8.0113 Å, b = 8.0113 Å, c = 6.1733 Å
α = 90.00°, β = 90.00°, γ = 90.00°
Atoms (fractional coordinates):
La 0.2103 0.7500 0.1250
La 0.2500 0.2103 0.8750
La 0.2500 0.2897 0.3750
La 0.2897 0.7500 0.6250
La 0.7103 0.2500 0.6250
La 0.7500 0.7103 0.3750
La 0.7500 0.7897 0.8750
La 0.7897 0.2500 0.1250
Nb 0.0000 0.0000 0.5000
Nb 0.0000 0.5000 0.7500
Nb 0.5000 0.0000 0.2500
Nb 0.5000 0.5000 0.0000
Ru 0.0000 0.0000 0.0000
Ru 0.0000 0.5000 0.2500
Ru 0.5000 0.0000 0.7500
Ru 0.5000 0.5000 0.5000

Properties
- total DFT energy (no corrections) (eV per cell) = -108.5
- space group = I-42d, No. 122
- E_form (meV per atom) = 518
- mass density (g/cm3) = 7.909
- excess energy over the best structure of this formula in the dataset (meV per atom) = 139

4.
# MoPtW

Crystalline MoPtW at its relaxed geometry (PBE, Alexandria via LeMat-Bulk).

a = 4.5516 Å, b = 4.5516 Å, c = 2.6699 Å
α = 90.00°, β = 90.00°, γ = 120.00°
Atoms (fractional coordinates):
Mo 0.0000 0.0000 0.0000
Pt 0.6667 0.3333 0.5000
W 0.3333 0.6667 0.5000

Properties
- total DFT energy (no corrections) (eV per cell) = -29.9
- space group = P-6m2, No. 187
- E_form (meV per atom) = -16
- mass density (g/cm3) = 16.461
- excess energy over the best structure of this formula in the dataset (meV per atom) = 84